{
  "formula": "Pu5Sn4Hg",
  "functional": "PBE",
  "state": "relaxed",
  "lattice_angstrom": [[4.1044, 0.0000, 0.0000], [0.0000, 4.1044, 0.0000], [0.0000, 0.0000, 15.0134]],
  "species": ["Sn", "Pu", "Sn", "Pu", "Hg", "Pu", "Sn", "Sn", "Pu", "Pu"],
  "fractional_positions": [[0.0000, 0.0000, 0.7907], [0.5000, 0.5000, 0.3214], [0.0000, 0.0000, 0.2093], [0.5000, 0.5000, 0.6786], [0.0000, 0.0000, 0.0000], [0.5000, 0.5000, 0.5000], [0.0000, 0.0000, 0.5944], [0.0000, 0.0000, 0.4056], [0.5000, 0.5000, 0.8910], [0.5000, 0.5000, 0.1090]],
  "total_magnetization_mub_per_cell": 22.631,
  "spacegroup": "P4/mmm",
  "ef_ev_per_atom": -0.12
}

=====

{
  "formula": "NpPdRuO6",
  "functional": "PBE",
  "state": "relaxed",
  "lattice_angstrom": [[5.2228, 0.0000, 0.0000], [-2.6114, 4.5231, 0.0000], [0.0000, 0.0000, 9.1715]],
  "species": ["O", "O", "Pd", "O", "O", "Np", "Np", "Ru", "O", "O", "O", "Pd", "Ru", "O", "O", "O", "O", "O"],
  "fractional_positions": [[0.3138, 0.3252, 0.8784], [0.6862, 0.6748, 0.1216], [0.3333, 0.6667, 0.2500], [0.3252, 0.0114, 0.1216], [0.3252, 0.3138, 0.3784], [0.6667, 0.3333, 0.2500], [0.3333, 0.6667, 0.7500], [0.0000, 0.0000, 0.5000], [0.3138, 0.9886, 0.6216], [0.6862, 0.0114, 0.3784], [0.9886, 0.6748, 0.3784], [0.6667, 0.3333, 0.7500], [0.0000, 0.0000, 0.0000], [0.6748, 0.6862, 0.6216], [0.6748, 0.9886, 0.8784], [0.9886, 0.3138, 0.1216], [0.0114, 0.6862, 0.8784], [0.0114, 0.3252, 0.6216]],
  "formation_energy_uncorrected_ev_per_atom": -1.51,
  "total_magnetization_mub_per_cell": 1.977,
  "spacegroup": "P-31c"
}

=====

{
  "formula": "ZrCuRh3",
  "functional": "PBE",
  "state": "relaxed",
  "lattice_angstrom": [[-2.1130, 1.9219, -3.8281], [2.7671, -2.6459, -2.8557], [-3.2697, -3.4811, 0.0571]],
  "species": ["Zr", "Rh", "Cu", "Rh", "Rh"],
  "fractional_positions": [[0.0000, 0.0000, 0.0000], [0.0000, 0.0000, 0.5000], [0.5000, 0.5000, 0.5000], [0.0000, 0.5000, 0.0000], [0.5000, 0.0000, 0.0000]],
  "de_polymorph_mev_per_atom": 1475,
  "total_magnetization_mub_per_cell": 0.000,
  "spacegroup": "Pm-3m",
  "ef_ev_per_atom": 1.09
}

=====

{
  "formula": "La4HoIn5",
  "functional": "PBE",
  "state": "relaxed",
  "lattice_angstrom": [[-1.6632, -3.4894, -0.1890], [3.4663, -1.6208, -0.5790], [2.2874, -2.1595, 19.7379]],
  "species": ["La", "In", "Ho", "In", "In", "In", "La", "In", "La", "La"],
  "fractional_positions": [[0.0000, 0.0000, 0.6027], [0.5000, 0.5000, 0.7056], [0.0000, 0.0000, 0.0000], [0.5000, 0.5000, 0.5000], [0.5000, 0.5000, 0.9128], [0.5000, 0.5000, 0.0872], [0.0000, 0.0000, 0.1917], [0.5000, 0.5000, 0.2944], [0.0000, 0.0000, 0.8083], [0.0000, 0.0000, 0.3973]],
  "total_magnetization_mub_per_cell": 0.000,
  "spacegroup": "P4/mmm",
  "ef_ev_per_atom": -0.51
}